Record 1
## BeV3Hg (PBE)

Data for BeV3Hg after structural relaxation.

Cell lengths 5.014, 5.014, 5.014 Å; angles 90.00, 90.00, 90.00 degrees
Space group Pm-3m (No. 221)
Unique sites:
Be 0.000 0.000 0.000 [1 per cell]
V 0.000 0.500 0.500 [3 per cell]
Hg 0.500 0.500 0.500 [1 per cell]

Values from the calculation:
- calculated total energy (eV per atom) = -4.199
- volume (Å³/atom) = 25.2
- DFT formation energy (kcal/mol of atoms) = 47.9


Record 2
## Tb2Pt (PBE)

Data for Tb2Pt after structural relaxation.

Cell lengths 7.191, 4.789, 8.856 Å; angles 90.00, 90.00, 90.00 degrees
Space group Pnma (No. 62)
Unique sites:
Tb 0.008 0.250 0.167 [4 per cell]
Tb 0.144 0.250 0.582 [4 per cell]
Pt 0.241 0.250 0.908 [4 per cell]

Values from the calculation:
- calculated total energy (eV per atom) = -6.034
- volume (Å³/atom) = 25.4
- DFT formation energy (kcal/mol of atoms) = -21.5


Record 3
## TaMn2Cr (PBE)

Data for TaMn2Cr after structural relaxation.

Cell lengths 5.167, 8.159, 2.652 Å; angles 90.00, 110.23, 90.00 degrees
Space group C2/m (No. 12)
Unique sites:
Ta 0.000 0.000 0.000 [2 per cell]
Mn 0.250 0.250 0.500 [4 per cell]
Cr 0.000 0.500 0.000 [2 per cell]

Values from the calculation:
- calculated total energy (eV per atom) = -9.826
- volume (Å³/atom) = 13.1
- DFT formation energy (kcal/mol of atoms) = 2.9


Record 4
## Sc2RhPb (PBE)

Data for Sc2RhPb after structural relaxation.

Cell lengths 3.245, 3.320, 7.724 Å; angles 90.00, 90.00, 90.00 degrees
Space group Pmmm (No. 47)
Unique sites:
Sc 0.000 0.000 0.206 [2 per cell]
Rh 0.500 0.500 0.000 [1 per cell]
Pb 0.500 0.500 0.500 [1 per cell]

Values from the calculation:
- calculated total energy (eV per atom) = -6.589
- volume (Å³/atom) = 20.8
- DFT formation energy (kcal/mol of atoms) = -15.2


Record 5
## MgAg2 (PBE)

Data for MgAg2 after structural relaxation.

Cell lengths 3.922, 3.922, 4.230 Å; angles 90.00, 90.00, 90.00 degrees
Space group P4/mmm (No. 123)
Unique sites:
Mg 0.000 0.000 0.000 [1 per cell]
Ag 0.000 0.500 0.500 [2 per cell]

Values from the calculation:
- calculated total energy (eV per atom) = -2.376
- volume (Å³/atom) = 21.7
- DFT formation energy (kcal/mol of atoms) = 1.3


Record 6
## Tb6Y12Er (PBE)

Data for Tb6Y12Er after structural relaxation.

Cell lengths 14.6776, 14.6776, 10.3220 Å; angles 90.00, 90.00, 120.00 degrees
Space group R-3 (No. 148, hexagonal axes)
Unique sites:
Tb 0.0523 0.2118 0.2617 [18 per cell]
Y 0.0543 0.2556 0.5806 [18 per cell]
Y 0.0659 0.2273 0.9172 [18 per cell]
Er 0.0000 0.0000 0.5000 [3 per cell]

Values from the calculation:
- calculated total energy (eV per atom) = -5.530
- volume (Å³/atom) = 33.8
- DFT formation energy (kcal/mol of atoms) = 5.9